First-principles (GGA-PBE) data for a geometry-optimized La8Pr5Pb structure, as listed in the Alexandria database.

a = 9.102 Å, b = 9.159 Å, c = 9.102 Å
α = 122.32°, β = 123.87°, γ = 84.57°
Positions (direct):
Pr1 0.270 0.973 0.040
Pr2 0.798 0.680 0.579
Pr3 0.899 0.320 0.118
Pr4 0.505 0.000 0.505
Pr5 0.068 0.027 0.297
La1 0.944 0.083 0.690
La2 0.089 0.572 0.024
La3 0.642 0.702 0.106
La4 0.749 0.226 0.373
La5 0.452 0.428 0.517
La6 0.607 0.917 0.861
La7 0.404 0.298 0.940
La8 0.147 0.774 0.522
Pb1 0.177 0.500 0.677

Volume: 510 Å³ per cell
ΔH_f (0 K): 0.04 eV/atom
Fermi-level density of states: 22.630 states/eV/cell
Total moment: 0.00 μB/atom
Mass density: 6.6 g cm⁻³